[1]
Here is LiBeCu2 after structural relaxation from Alexandria. Energies are from PBEsol.

Summary:
ΔH_f (0 K) = -0.02 eV per formula unit

The structure in POSCAR format:
```
LiBeCu2
1.0
-1.421 -1.339 1.859
-2.469 -1.220 -2.766
2.221 -3.158 -0.577
Be Cu Li
1 2 1
Direct
0.500 0.500 0.500
0.000 0.500 0.000
0.000 0.000 0.500
0.500 0.000 0.000
```

=====

[2]
Here is LiBe2Cu after structural relaxation from Alexandria. Energies are from PBEsol.

Summary:
polymorph energy (0 for the lowest one) = 0.00 eV per formula unit
ΔH_f (0 K) = 0.24 eV per formula unit

The structure in POSCAR format:
```
LiBe2Cu
1.0
-2.393 -0.907 0.452
1.148 -1.300 3.470
-0.362 4.495 -0.366
Be Cu Li
2 1 1
Direct
0.021 0.022 0.041
0.744 0.243 0.489
0.482 0.483 0.964
0.253 0.752 0.506
```

=====

[3]
Here is LiBe2Cu after structural relaxation from Alexandria. Energies are from PBEsol.

Summary:
polymorph energy (0 for the lowest one) = 2.08 eV per formula unit
ΔH_f (0 K) = 2.32 eV per formula unit

The structure in POSCAR format:
```
LiBe2Cu
1.0
-0.846 3.521 -1.765
-3.779 -1.235 -0.654
0.230 1.698 7.874
Be Cu Li
4 2 2
Direct
0.625 0.875 0.750
0.125 0.875 0.750
0.125 0.875 0.250
0.125 0.375 0.250
0.000 0.000 0.000
0.250 0.750 0.500
0.500 0.500 0.000
0.750 0.250 0.500
```

=====

[4]
Here is LiBeCu2 after structural relaxation from Alexandria. Energies are from PBEsol.

Summary:
ΔH_f (0 K) = 0.04 eV per formula unit

The structure in POSCAR format:
```
LiBeCu2
1.0
-0.669 0.389 2.567
-2.212 -3.195 -0.092
4.601 -0.819 -0.076
Be Cu Li
1 2 1
Direct
0.264 0.764 0.527
0.984 0.984 0.968
0.744 0.244 0.488
0.509 0.509 0.017
```

=====

[5]
Here is LiBe3Cu after structural relaxation from Alexandria. Energies are from PBEsol.

Summary:
ΔH_f (0 K) = 2.48 eV per formula unit

The structure in POSCAR format:
```
LiBe3Cu
1.0
4.045 0.000 0.000
0.000 4.045 0.000
0.000 0.000 4.045
Be Cu Li
3 1 1
Direct
0.000 0.500 0.000
0.000 0.000 0.500
0.500 0.000 0.000
0.000 0.000 0.000
0.500 0.500 0.500
```

=====

[6]
Here is MgBe2Cu after structural relaxation from Alexandria. Energies are from PBEsol.

Summary:
ΔH_f (0 K) = 1.43 eV per formula unit

The structure in POSCAR format:
```
MgBe2Cu
1.0
-0.582 1.969 -1.657
0.463 -0.269 -2.584
-7.426 -2.464 -2.420
Be Mg Cu
2 1 1
Direct
0.240 0.240 0.281
0.760 0.760 0.719
0.000 0.000 0.000
0.500 0.500 0.500
```

=====

[7]
Here is Mg2BeCu after structural relaxation from Alexandria. Energies are from PBEsol.

Summary:
ΔH_f (0 K) = 0.36 eV per formula unit

The structure in POSCAR format:
```
Mg2BeCu
1.0
-1.671 -0.568 2.492
-3.272 -1.466 -2.527
4.139 -3.039 0.212
Be Mg Cu
1 2 1
Direct
0.533 0.533 0.065
0.982 0.982 0.965
0.769 0.269 0.538
0.216 0.716 0.432
```

=====

[8]
Here is MgBe4Cu after structural relaxation from Alexandria. Energies are from PBEsol.

Summary:
ΔH_f (0 K) = -0.10 eV per formula unit

The structure in POSCAR format:
```
MgBe4Cu
1.0
-2.156 1.973 -3.273
0.091 -1.718 -4.036
-3.608 -1.849 -1.679
Be Mg Cu
4 1 1
Direct
0.376 0.376 0.376
0.376 0.376 0.871
0.871 0.376 0.376
0.376 0.871 0.376
0.000 0.000 0.000
0.750 0.750 0.750
```

=====

[9]
Here is Mg3BeCu after structural relaxation from Alexandria. Energies are from PBEsol.

Summary:
ΔH_f (0 K) = 3.06 eV per formula unit

The structure in POSCAR format:
```
Mg3BeCu
1.0
4.758 0.000 0.000
0.000 4.758 0.000
0.000 0.000 4.758
Be Mg Cu
1 3 1
Direct
0.500 0.500 0.500
0.000 0.500 0.000
0.000 0.000 0.500
0.500 0.000 0.000
0.000 0.000 0.000
```

=====

[10]
Here is MgBeCu after structural relaxation from Alexandria. Energies are from PBEsol.

Summary:
polymorph energy (0 for the lowest one) = 0.00 eV per formula unit
ΔH_f (0 K) = 1.21 eV per formula unit

The structure in POSCAR format:
```
MgBeCu
1.0
-3.049 -2.452 -0.889
-1.081 -2.875 2.582
-3.465 0.300 2.001
Be Mg Cu
1 1 1
Direct
0.500 0.500 0.500
0.000 0.000 0.000
0.250 0.250 0.250
```

=====

[11]
Here is MgBeCu2 after structural relaxation from Alexandria. Energies are from PBEsol.

Summary:
polymorph energy (0 for the lowest one) = 0.37 eV per formula unit
ΔH_f (0 K) = 0.12 eV per formula unit

The structure in POSCAR format:
```
MgBeCu2
1.0
2.912 0.000 0.000
0.000 2.912 0.000
0.000 0.000 5.806
Be Mg Cu
1 1 2
Direct
0.500 0.500 0.808
0.000 0.000 0.502
0.000 0.000 0.975
0.500 0.500 0.215
```

=====

[12]
Here is MgBeCu2 after structural relaxation from Alexandria. Energies are from PBEsol.

Summary:
polymorph energy (0 for the lowest one) = 0.00 eV per formula unit
ΔH_f (0 K) = -0.25 eV per formula unit

The structure in POSCAR format:
```
MgBeCu2
1.0
2.772 0.000 0.034
0.000 2.773 0.000
-0.073 0.000 6.245
Be Mg Cu
1 1 2
Direct
0.500 0.500 0.000
0.500 0.500 0.500
0.000 0.000 0.199
0.000 0.000 0.801
```

=====

[13]
Here is MgBe2Cu2 after structural relaxation from Alexandria. Energies are from PBEsol.

Summary:
ΔH_f (0 K) = -0.22 eV per formula unit

The structure in POSCAR format:
```
MgBe2Cu2
1.0
2.644 0.000 0.000
0.000 6.481 0.000
0.000 0.000 6.481
Be Mg Cu
4 2 4
Direct
0.000 0.377 0.877
0.000 0.877 0.623
0.000 0.623 0.123
0.000 0.123 0.377
0.000 0.000 0.000
0.000 0.500 0.500
0.500 0.167 0.667
0.500 0.667 0.833
0.500 0.833 0.333
0.500 0.333 0.167
```

=====

[14]
Here is MgBeCuP2 after structural relaxation from Alexandria. Energies are from PBEsol.

Summary:
ΔH_f (0 K) = 7.02 eV per formula unit

The structure in POSCAR format:
```
MgBeCuP2
1.0
-2.919 -2.338 2.458
1.091 -3.833 -2.351
3.334 -0.934 3.070
P Mg Cu Be
2 1 1 1
Direct
0.000 0.000 0.500
0.000 0.500 0.000
0.000 0.000 0.000
0.500 0.500 0.500
0.500 0.000 0.000
```

=====

[15]
Here is MnBeCu2 after structural relaxation from Alexandria. Energies are from PBEsol.

Summary:
ΔH_f (0 K) = 0.81 eV per formula unit

The structure in POSCAR format:
```
MnBeCu2
1.0
-1.948 -1.256 -0.272
2.100 -2.633 -2.873
0.241 -1.290 4.228
Be Cu Mn
1 2 1
Direct
0.500 0.500 0.500
0.000 0.500 0.000
0.000 0.000 0.500
0.500 0.000 0.000
```

=====

[16]
Here is MnBeCu after structural relaxation from Alexandria. Energies are from PBEsol.

Summary:
polymorph energy (0 for the lowest one) = 0.00 eV per formula unit
ΔH_f (0 K) = 0.16 eV per formula unit

The structure in POSCAR format:
```
MnBeCu
1.0
2.516 0.000 0.000
0.000 2.516 0.000
-1.258 -1.258 4.772
Be Mn Cu
1 1 1
Direct
0.001 0.001 0.001
0.347 0.347 0.694
0.653 0.653 0.305
```

=====

[17]
Here is MnBe2Cu after structural relaxation from Alexandria. Energies are from PBEsol.

Summary:
ΔH_f (0 K) = -0.19 eV per formula unit

The structure in POSCAR format:
```
MnBe2Cu
1.0
2.335 -0.003 0.000
-0.539 2.272 0.000
0.000 0.000 7.053
Be Mn Cu
2 1 1
Direct
0.000 0.000 0.247
0.000 0.000 0.753
0.500 0.500 0.000
0.500 0.500 0.500
```

=====

[18]
Here is BeCuMo2 after structural relaxation from Alexandria. Energies are from PBEsol.

Summary:
ΔH_f (0 K) = 1.12 eV per formula unit

The structure in POSCAR format:
```
BeCuMo2
1.0
-0.191 2.313 0.993
-3.370 0.928 -2.809
-2.939 -1.539 3.017
Be Mo Cu
1 2 1
Direct
0.500 0.500 0.500
0.000 0.000 0.500
0.000 0.500 0.000
0.500 0.000 0.000
```

=====

[19]
Here is BeCuMo2 after structural relaxation from Alexandria. Energies are from PBEsol.

Summary:
ΔH_f (0 K) = 0.52 eV per formula unit

The structure in POSCAR format:
```
BeCuMo2
1.0
-0.403 1.276 2.279
-3.722 -1.633 0.257
1.897 -4.036 1.832
Be Mo Cu
1 2 1
Direct
0.356 0.000 0.494
0.980 0.000 0.987
0.770 0.500 0.275
0.393 0.500 0.744
```

=====

[20]
Here is BeCuN2 after structural relaxation from Alexandria. Energies are from PBEsol.

Summary:
ΔE_f (raw) = 0.650 eV per atom

The structure in POSCAR format:
```
BeCuN2
1.0
2.562 0.000 0.000
1.281 2.219 0.000
1.281 0.740 5.797
Be Cu N
1 1 2
Direct
0.500 0.500 0.500
0.000 0.000 0.000
0.896 0.896 0.312
0.104 0.104 0.688
```